# 1
Ge3AuF12 after structural relaxation. Source: the Alexandria database, functional GGA-PBE.

Computed properties:
M_tot = 3.05 μB/cell
E_form (uncorrected) = -2.00 eV/atom

Cell: 8.9811 8.9811 32.3479 Å, 90.00 90.00 120.00°
Space group R3c (No. 161, hexagonal axes)
Unique sites:
Ge (0.0020, 0.3509, 0.0000) x18
Au (0.0000, 0.0000, 0.2654) x6
F (0.1261, 0.3806, 0.2872) x18
F (0.1628, 0.4032, 0.3733) x18
F (0.2030, 0.4308, 0.6678) x18
F (0.2078, 0.4263, 0.5069) x18

=====

# 2
LaPmTlSn after structural relaxation. Source: the Alexandria database, functional GGA-PBE.

Computed properties:
M_tot = 0.00 μB/cell
Energy relative to the lowest polymorph listed for this composition = 0.007 eV/atom
Energy relative to the elements = -207 kJ/mol of formula units

Cell: 7.837 7.837 7.837 Å, 90.00 90.00 90.00°
Space group F-43m (No. 216)
Unique sites:
La (0.000, 0.000, 0.000) x4
Pm (0.000, 0.000, 0.500) x4
Tl (0.250, 0.250, 0.750) x4
Sn (0.250, 0.250, 0.250) x4

=====

# 3
Ta2TiAg after structural relaxation. Source: the Alexandria database, functional GGA-PBE.

Computed properties:
M_tot = 0.00 μB/cell
Energy relative to the lowest polymorph listed for this composition = 0.241 eV/atom
Energy relative to the elements = 248 kJ/mol of formula units

Cell: 3.901 3.901 20.039 Å, 90.00 90.00 90.00°
Space group I-42d (No. 122)
Unique sites:
Ta (0.241, 0.250, 0.125) x8
Ti (0.000, 0.000, 0.000) x4
Ag (0.000, 0.000, 0.500) x4

=====

# 4
LiGa2Sn6 after structural relaxation. Source: the Alexandria database, functional GGA-PBE.

Computed properties:
M_tot = 0.00 μB/cell
Energy relative to the elements = 23 kJ/mol of formula units

Cell: 16.972 8.524 7.124 Å, 90.00 104.98 90.00°
Space group C2/c (No. 15)
Unique sites:
Li (0.000, 0.147, 0.250) x4
Ga (0.191, 0.445, 0.266) x8
Sn (0.070, 0.413, 0.468) x8
Sn (0.085, 0.135, 0.721) x8
Sn (0.178, 0.140, 0.127) x8

=====

# 5
CsMg2TcAs after structural relaxation. Source: the Alexandria database, functional GGA-PBE.

Computed properties:
M_tot = 1.72 μB/cell
Energy relative to the elements = 290 kJ/mol of formula units

Cell: 5.482 5.482 4.855 Å, 90.00 90.00 90.00°
Space group P4/mmm (No. 123)
Unique sites:
Cs (0.000, 0.000, 0.000) x1
Mg (0.000, 0.500, 0.500) x2
Tc (0.500, 0.500, 0.000) x1
As (0.500, 0.500, 0.500) x1

=====

# 6
YHg2F after structural relaxation. Source: the Alexandria database, functional GGA-PBE.

Computed properties:
M_tot = 0.00 μB/cell
Energy relative to the lowest polymorph listed for this composition = 0.450 eV/atom
E_form (uncorrected) = -0.70 eV/atom

Cell: 7.092 7.092 7.092 Å, 90.00 90.00 90.00°
Space group Fm-3m (No. 225)
Unique sites:
Y (0.000, 0.000, 0.000) x4
Hg (0.250, 0.250, 0.250) x8
F (0.000, 0.000, 0.500) x4

=====

Q: What is the formula in the third record?
A: Ta2TiAg

=====

Q: Which value of M_tot does entry 6 give?
A: 0.00 μB/cell

=====

Q: Which value of M_tot does entry 1 give?
A: 3.05 μB/cell